i | TlAgCl | PBE | optimized geometry Values from VASP.

Results
Space group: I4mm (107)
Density, g/cm³: 7.78

Geometry as Quantum ESPRESSO input:
```
&SYSTEM
  ibrav = 0, nat = 3, ntyp = 3
/
ATOMIC_SPECIES
Tl 204.38 Tl.upf
Ag 107.87 Ag.upf
Cl 35.45 Cl.upf
CELL_PARAMETERS angstrom
-0.7770 6.0945 1.9110
-4.8772 4.1902 -0.2308
2.0331 -5.9436 1.3923
ATOMIC_POSITIONS angstrom
Tl -3.6568 6.6515 1.0867
Ag -5.5715 10.1343 1.6557
Cl -2.0801 3.7836 0.6182
```

ii | TlAgCl | PBE | optimized geometry Values from VASP.

Results
Space group: Amm2 (38)
Density, g/cm³: 7.07

Geometry as Quantum ESPRESSO input:
```
&SYSTEM
  ibrav = 0, nat = 6, ntyp = 3
/
ATOMIC_SPECIES
Ag 107.87 Ag.upf
Tl 204.38 Tl.upf
Cl 35.45 Cl.upf
CELL_PARAMETERS angstrom
-0.2152 -2.6065 -2.9930
2.9766 2.5717 0.1855
6.4517 -7.9327 6.4445
ATOMIC_POSITIONS angstrom
Ag 0.5531 -1.0112 -1.7984
Ag 4.8012 -3.2699 2.5024
Tl 2.6119 -3.5788 0.2897
Tl 4.9026 -6.3953 2.5778
Cl 7.1353 -6.1154 4.8127
Cl 2.4963 -0.4115 0.1788
```

iii | TlAgCl | PBE | optimized geometry Values from VASP.

Results
Space group: P3m1 (156)
Density, g/cm³: 7.24

Geometry as Quantum ESPRESSO input:
```
&SYSTEM
  ibrav = 0, nat = 3, ntyp = 3
/
ATOMIC_SPECIES
Tl 204.38 Tl.upf
Ag 107.87 Ag.upf
Cl 35.45 Cl.upf
CELL_PARAMETERS angstrom
4.0254 0.0000 0.0000
-2.0127 3.4861 0.0000
0.0000 0.0000 5.6853
ATOMIC_POSITIONS angstrom
Tl 0.0000 2.3241 4.0140
Ag 0.0000 0.0000 0.1211
Cl 2.0127 1.1620 1.5502
```

iv | TlAgCl | PBE | optimized geometry Values from VASP.

Results
Space group: F-43m (216)
Density, g/cm³: 6.88

Geometry as Quantum ESPRESSO input:
```
&SYSTEM
  ibrav = 0, nat = 3, ntyp = 3
/
ATOMIC_SPECIES
Tl 204.38 Tl.upf
Ag 107.87 Ag.upf
Cl 35.45 Cl.upf
CELL_PARAMETERS angstrom
4.9153 0.0000 0.0000
2.4577 4.2568 0.0000
2.4577 1.4189 4.0133
ATOMIC_POSITIONS angstrom
Tl 4.9153 2.8379 2.0067
Ag 2.4577 1.4189 1.0033
Cl 0.0000 0.0000 0.0000
```

Relative energies, kJ/mol of atoms: i 3.1; ii 0.9; iii 0.0; iv 11.2.

i | TlAg2Cl | PBE | optimized geometry Values from VASP.

Results
Space group: Cmmm (65)
Density, g/cm³: 8.38

Geometry as Quantum ESPRESSO input:
```
&SYSTEM
  ibrav = 0, nat = 4, ntyp = 3
/
ATOMIC_SPECIES
Tl 204.38 Tl.upf
Ag 107.87 Ag.upf
Cl 35.45 Cl.upf
CELL_PARAMETERS angstrom
3.4148 0.0091 0.0000
-1.3674 3.1291 0.0000
0.0000 0.0000 8.4408
ATOMIC_POSITIONS angstrom
Tl 1.0237 1.5691 6.3306
Ag 0.0000 0.0000 0.1348
Ag 0.0000 0.0000 4.0856
Cl 1.0237 1.5691 2.1102
```

ii | TlAg2Cl | PBE | optimized geometry Values from VASP.

Results
Space group: R-3m (166)
Density, g/cm³: 8.35

Geometry as Quantum ESPRESSO input:
```
&SYSTEM
  ibrav = 0, nat = 4, ntyp = 3
/
ATOMIC_SPECIES
Tl 204.38 Tl.upf
Ag 107.87 Ag.upf
Cl 35.45 Cl.upf
CELL_PARAMETERS angstrom
-2.6603 2.8267 7.4519
0.1935 0.8546 8.3565
0.6311 4.2304 7.2321
ATOMIC_POSITIONS angstrom
Tl -0.4589 1.9779 5.7601
Ag -0.0092 0.0398 0.1159
Ag -0.9086 3.9161 11.4043
Cl -1.3768 5.9338 17.2804
```

iii | TlAg2Cl | PBE | optimized geometry Values from VASP.

Results
Space group: R3m (160)
Density, g/cm³: 7.86

Geometry as Quantum ESPRESSO input:
```
&SYSTEM
  ibrav = 0, nat = 4, ntyp = 3
/
ATOMIC_SPECIES
Tl 204.38 Tl.upf
Ag 107.87 Ag.upf
Cl 35.45 Cl.upf
CELL_PARAMETERS angstrom
-4.6730 6.9292 0.0053
-6.3316 4.8158 2.5631
-3.3489 6.8266 3.4688
ATOMIC_POSITIONS angstrom
Tl -3.6320 4.6994 1.5277
Ag -0.1175 0.1520 0.0494
Ag -10.7753 13.9418 4.5322
Cl -7.0055 9.0642 2.9466
```

Relative energies, kJ/mol of atoms: i 10.2; ii 5.1; iii 0.0.

i | TlAg2Cl | PBE | optimized geometry Values from VASP.

Results
Space group: Cm (8)
Density, g/cm³: 6.92

Geometry as Quantum ESPRESSO input:
```
&SYSTEM
  ibrav = 0, nat = 4, ntyp = 3
/
ATOMIC_SPECIES
Tl 204.38 Tl.upf
Ag 107.87 Ag.upf
Cl 35.45 Cl.upf
CELL_PARAMETERS angstrom
-3.5559 -4.1258 -3.8680
-2.3809 -6.1136 -1.2585
-4.3999 0.3319 2.2340
ATOMIC_POSITIONS angstrom
Tl -7.9957 -7.6613 -2.2356
Ag -6.2587 -9.3184 -4.2800
Ag -2.7646 -2.3903 -0.5759
Cl -4.4229 -5.7306 -2.3737
```

ii | TlAg2Cl | PBE | optimized geometry Values from VASP.

Results
Space group: Fm-3m (225)
Density, g/cm³: 8.28

Geometry as Quantum ESPRESSO input:
```
&SYSTEM
  ibrav = 0, nat = 4, ntyp = 3
/
ATOMIC_SPECIES
Tl 204.38 Tl.upf
Ag 107.87 Ag.upf
Cl 35.45 Cl.upf
CELL_PARAMETERS angstrom
0.0000 3.5750 3.5750
3.5750 0.0000 3.5750
3.5750 3.5750 0.0000
ATOMIC_POSITIONS angstrom
Tl 3.5750 3.5750 3.5750
Ag 1.7875 1.7875 1.7875
Ag 5.3625 5.3625 5.3625
Cl 0.0000 0.0000 0.0000
```

Relative energies, kJ/mol of atoms: i 0.0; ii 19.6.

i | TlAg2Cl | PBE | optimized geometry Values from VASP.

Results
Space group: Pm (6)
Density, g/cm³: 7.83

Geometry as Quantum ESPRESSO input:
```
&SYSTEM
  ibrav = 0, nat = 4, ntyp = 3
/
ATOMIC_SPECIES
Tl 204.38 Tl.upf
Ag 107.87 Ag.upf
Cl 35.45 Cl.upf
CELL_PARAMETERS angstrom
3.4948 0.0000 0.0000
0.0000 3.5630 0.0486
0.0000 1.6914 7.7824
ATOMIC_POSITIONS angstrom
Tl 1.7474 3.7226 5.8410
Ag 0.0000 0.2172 0.3273
Ag 1.7474 1.9792 1.7321
Cl 0.0000 1.9627 3.8461
```

ii | TlAg2Cl | PBE | optimized geometry Values from VASP.

Results
Space group: Cmmm (65)
Density, g/cm³: 8.42

Geometry as Quantum ESPRESSO input:
```
&SYSTEM
  ibrav = 0, nat = 4, ntyp = 3
/
ATOMIC_SPECIES
Tl 204.38 Tl.upf
Ag 107.87 Ag.upf
Cl 35.45 Cl.upf
CELL_PARAMETERS angstrom
5.1479 0.1160 0.0000
-1.7279 4.8506 0.0000
0.0000 0.0000 3.5693
ATOMIC_POSITIONS angstrom
Tl -0.8640 2.4253 1.7846
Ag 0.0000 0.0000 0.0000
Ag 1.7100 2.4833 0.0000
Cl 2.5740 0.0580 1.7846
```

Relative energies, kJ/mol of atoms: i 0.0; ii 16.1.